Entry 1:
First-principles (PBE-GGA) data for an optimized crystal structure of CsNbSe3, as listed in the Alexandria database.

Properties
ΔE to the lowest computed polymorph: 3.27 eV/f.u.
Raw formation energy: -0.334 eV per atom

Cell and atoms, written as POSCAR:
```
CsNbSe3
1.0
2.5319 -10.9568 0.0000
2.5319 10.9568 0.0000
0.0000 0.0000 5.6758
Cs Nb Se
2 2 6
direct
0.1992 0.8008 0.7500
0.8008 0.1992 0.2500
0.4671 0.5329 0.7500
0.5329 0.4671 0.2500
0.0000 0.0000 0.0000
0.0000 0.0000 0.5000
0.1108 0.3802 0.7500
0.3802 0.1108 0.2500
0.6198 0.8892 0.7500
0.8892 0.6198 0.2500
```

---

Entry 2:
First-principles (PBE-GGA) data for an optimized crystal structure of Cs2NbSe2, as listed in the Alexandria database.

Properties
Raw formation energy: 0.682 eV per atom

Cell and atoms, written as POSCAR:
```
Cs2NbSe2
1.0
-3.1775 3.1775 5.2519
3.1775 -3.1775 5.2519
3.1775 3.1775 -5.2519
Cs Nb Se
2 1 2
direct
0.1578 0.1578 0.0000
0.8422 0.8422 0.0000
0.5000 0.5000 0.0000
0.2500 0.7500 0.5000
0.7500 0.2500 0.5000
```

---

Entry 3:
First-principles (PBE-GGA) data for an optimized crystal structure of CsNbSe3, as listed in the Alexandria database.

Properties
ΔE to the lowest computed polymorph: 0.77 eV/f.u.
Raw formation energy: -0.833 eV per atom

Cell and atoms, written as POSCAR:
```
CsNbSe3
1.0
4.2105 0.0000 0.0000
0.0000 10.8293 0.0000
-2.0233 0.0000 8.5997
Cs Nb Se
2 2 6
direct
0.2473 0.2500 0.4192
0.7527 0.7500 0.5808
0.0404 0.7500 0.1329
0.9596 0.2500 0.8671
0.1185 0.5764 0.2966
0.1185 0.9236 0.2966
0.4616 0.7500 0.9698
0.5384 0.2500 0.0302
0.8815 0.0764 0.7034
0.8815 0.4236 0.7034
```

---

Entry 4:
First-principles (PBE-GGA) data for an optimized crystal structure of Cs2NbSe3, as listed in the Alexandria database.

Properties
Raw formation energy: -1.023 eV per atom

Cell and atoms, written as POSCAR:
```
Cs2NbSe3
1.0
3.8387 -7.4964 0.0000
3.8387 7.4964 0.0000
-0.0829 0.0000 17.3482
Cs Nb Se
8 4 12
direct
0.0563 0.4284 0.3527
0.1441 0.3538 0.9247
0.3538 0.1441 0.4247
0.4284 0.0563 0.8527
0.5716 0.9437 0.1473
0.6462 0.8559 0.5753
0.8559 0.6462 0.0753
0.9437 0.5716 0.6473
0.2504 0.2537 0.1665
0.2537 0.2504 0.6665
0.7462 0.7496 0.3335
0.7496 0.7462 0.8335
0.0302 0.9698 0.2500
0.1027 0.4187 0.1338
0.1526 0.3388 0.5522
0.3388 0.1526 0.0522
0.4187 0.1027 0.6338
0.4574 0.5426 0.7500
0.5426 0.4574 0.2500
0.5813 0.8973 0.3662
0.6612 0.8474 0.9478
0.8474 0.6612 0.4478
0.8973 0.5813 0.8662
0.9698 0.0302 0.7500
```

---

Entry 5:
First-principles (PBE-GGA) data for an optimized crystal structure of CsNbSe3, as listed in the Alexandria database.

Properties
ΔE to the lowest computed polymorph: 0.81 eV/f.u.
Raw formation energy: -0.825 eV per atom

Cell and atoms, written as POSCAR:
```
CsNbSe3
1.0
5.0356 0.0000 0.0000
0.0000 5.0356 0.0000
0.0000 0.0000 6.1795
Cs Nb Se
1 1 3
direct
0.0000 0.0000 0.0000
0.5000 0.5000 0.4310
0.0000 0.5000 0.5268
0.5000 0.0000 0.5268
0.5000 0.5000 0.0518
```

---

Entry 6:
First-principles (PBE-GGA) data for an optimized crystal structure of CsNbSe3, as listed in the Alexandria database.

Properties
ΔE to the lowest computed polymorph: 0.86 eV/f.u.
Raw formation energy: -0.816 eV per atom

Cell and atoms, written as POSCAR:
```
CsNbSe3
1.0
3.6663 -8.0922 0.0000
3.6663 8.0922 0.0000
0.0000 0.0000 7.7550
Cs Nb Se
2 2 6
direct
0.1315 0.8685 0.7500
0.8685 0.1315 0.2500
0.4064 0.5936 0.7500
0.5936 0.4064 0.2500
0.0605 0.4159 0.7500
0.4159 0.0605 0.2500
0.5000 0.5000 0.0000
0.5000 0.5000 0.5000
0.5841 0.9395 0.7500
0.9395 0.5841 0.2500
```

---

Entry 7:
First-principles (PBE-GGA) data for an optimized crystal structure of CsNbSe3, as listed in the Alexandria database.

Properties
ΔE to the lowest computed polymorph: 0.01 eV/f.u.
Raw formation energy: -0.986 eV per atom

Cell and atoms, written as POSCAR:
```
CsNbSe3
1.0
6.7103 -3.8926 0.0000
6.7103 3.8926 0.0000
-0.0060 0.0000 6.2040
Cs Nb Se
2 2 6
direct
0.0000 0.0000 0.0000
0.6846 0.6846 0.4994
0.3134 0.3134 0.7756
0.3712 0.3712 0.2757
0.0242 0.4914 0.0079
0.1919 0.1919 0.4688
0.1935 0.6601 0.5084
0.4914 0.0242 0.0079
0.4926 0.4926 0.9694
0.6601 0.1935 0.5084
```

---

Entry 8:
First-principles (PBE-GGA) data for an optimized crystal structure of Cs5Nb2Se6, as listed in the Alexandria database.

Properties
Raw formation energy: -1.087 eV per atom

Cell and atoms, written as POSCAR:
```
Cs5Nb2Se6
1.0
7.0601 -4.4638 0.0000
7.0601 4.4638 0.0000
-4.0389 0.0000 18.1646
Cs Nb Se
10 4 12
direct
0.1152 0.8848 0.7500
0.1766 0.6948 0.0021
0.2571 0.4252 0.2775
0.3052 0.8234 0.4979
0.4252 0.2571 0.7775
0.5748 0.7429 0.2225
0.6948 0.1766 0.5021
0.7429 0.5748 0.7225
0.8234 0.3052 0.9979
0.8848 0.1152 0.2500
0.1198 0.4212 0.5664
0.4212 0.1198 0.0664
0.5788 0.8802 0.9336
0.8802 0.5788 0.4336
0.0887 0.2068 0.6338
0.1599 0.2907 0.4342
0.2068 0.0887 0.1338
0.2907 0.1599 0.9342
0.3718 0.4971 0.6254
0.4971 0.3718 0.1254
0.5029 0.6282 0.8746
0.6282 0.5029 0.3746
0.7093 0.8401 0.0658
0.7932 0.9113 0.8662
0.8401 0.7093 0.5658
0.9113 0.7932 0.3662
```

---

Entry 9:
First-principles (PBE-GGA) data for an optimized crystal structure of CsNbSe3, as listed in the Alexandria database.

Properties
ΔE to the lowest computed polymorph: 0.50 eV/f.u.
Raw formation energy: -0.886 eV per atom

Cell and atoms, written as POSCAR:
```
CsNbSe3
1.0
7.4984 -7.2769 0.0000
7.4984 7.2769 0.0000
-0.3296 0.0000 6.3255
Cs Nb Se
4 4 12
direct
0.0964 0.2811 0.1058
0.2811 0.0964 0.6058
0.7189 0.9036 0.3942
0.9036 0.7189 0.8942
0.2756 0.7244 0.2500
0.4249 0.5751 0.7500
0.5751 0.4249 0.2500
0.7244 0.2756 0.7500
0.0702 0.7228 0.4074
0.2103 0.5798 0.9128
0.2772 0.9298 0.0926
0.3346 0.4704 0.4038
0.4202 0.7897 0.5872
0.4704 0.3346 0.9038
0.5296 0.6654 0.0962
0.5798 0.2103 0.4128
0.6654 0.5296 0.5962
0.7228 0.0702 0.9074
0.7897 0.4202 0.0872
0.9298 0.2772 0.5926
```

---

Entry 10:
First-principles (PBE-GGA) data for an optimized crystal structure of Cs2NbSe6, as listed in the Alexandria database.

Properties
Raw formation energy: -0.631 eV per atom

Cell and atoms, written as POSCAR:
```
Cs2NbSe6
1.0
7.2867 -4.5740 0.0000
7.2867 4.5740 0.0000
-0.5464 0.0000 4.6265
Cs Nb Se
2 1 6
direct
0.1971 0.1971 0.4717
0.8029 0.8029 0.5283
0.5000 0.5000 0.0000
0.1779 0.5664 0.0650
0.3202 0.6798 0.5000
0.4336 0.8221 0.9350
0.5664 0.1779 0.0650
0.6798 0.3202 0.5000
0.8221 0.4336 0.9350
```

---

Entry 11:
First-principles (PBE-GGA) data for an optimized crystal structure of CsNbSe3, as listed in the Alexandria database.

Properties
ΔE to the lowest computed polymorph: 0.21 eV/f.u.
Raw formation energy: -0.945 eV per atom

Cell and atoms, written as POSCAR:
```
CsNbSe3
1.0
6.2310 0.0000 0.0000
0.0000 14.6870 0.0000
0.0000 0.0000 8.4954
Cs Nb Se
4 4 12
direct
0.0000 0.0000 0.0000
0.0000 0.5000 0.0000
0.5000 0.0000 0.5000
0.5000 0.5000 0.5000
0.2221 0.2500 0.2965
0.2779 0.7500 0.7965
0.7221 0.2500 0.2035
0.7779 0.7500 0.7035
0.0064 0.6261 0.6140
0.0064 0.8739 0.6140
0.0342 0.2500 0.0151
0.4658 0.7500 0.5151
0.4936 0.1261 0.1140
0.4936 0.3739 0.1140
0.5064 0.6261 0.8860
0.5064 0.8739 0.8860
0.5342 0.2500 0.4849
0.9658 0.7500 0.9849
0.9936 0.1261 0.3860
0.9936 0.3739 0.3860
```

---

Entry 12:
First-principles (PBE-GGA) data for an optimized crystal structure of CsNb3Se, as listed in the Alexandria database.

Properties
ΔE to the lowest computed polymorph: 0.00 eV/f.u.
Raw formation energy: 1.217 eV per atom

Cell and atoms, written as POSCAR:
```
CsNb3Se
1.0
4.9816 0.0000 0.0000
0.0000 4.9816 0.0000
0.0000 0.0000 4.9816
Cs Nb Se
1 3 1
direct
0.0000 0.0000 0.0000
0.0000 0.5000 0.5000
0.5000 0.0000 0.5000
0.5000 0.5000 0.0000
0.5000 0.5000 0.5000
```

---

no.,E_tot (eV/cell)
1,-46.091
2,-15.336
3,-51.082
4,-113.472
5,-25.500
6,-50.912
7,-52.610
8,-118.895
9,-103.237
10,-38.363
11,-104.411
12,-28.461